[1]
Computed, not measured: a relaxed LiMg2Bi crystal at the PBE-GGA level of DFT.

CIF file:
```
data_LiMg2Bi
_chemical_formula_sum 'Li1 Mg2 Bi1'
_space_group_name_H-M_alt 'P 1'
_space_group_IT_number 1
_cell_length_a 4.551
_cell_length_b 4.497
_cell_length_c 4.497
_cell_angle_alpha 90.00
_cell_angle_beta 90.00
_cell_angle_gamma 90.00
loop_
_space_group_symop_operation_xyz
'x,y,z'
loop_
_atom_site_label
_atom_site_fract_x
_atom_site_fract_y
_atom_site_fract_z
_atom_site_occupancy
Mg1 0.000 0.000 0.500 1
Mg2 0.000 0.500 0.000 1
Bi1 0.500 0.500 0.500 1
Li1 0.500 0.000 0.000 1
```

space group: P4/mmm, No. 123

[2]
Computed, not measured: a relaxed La3SeO crystal at the PBE-GGA level of DFT.

CIF file:
```
data_La3SeO
_chemical_formula_sum 'La3 Se1 O1'
_space_group_name_H-M_alt 'P 1'
_space_group_IT_number 1
_cell_length_a 4.949
_cell_length_b 4.949
_cell_length_c 4.949
_cell_angle_alpha 90.00
_cell_angle_beta 90.00
_cell_angle_gamma 90.00
loop_
_space_group_symop_operation_xyz
'x,y,z'
loop_
_atom_site_label
_atom_site_fract_x
_atom_site_fract_y
_atom_site_fract_z
_atom_site_occupancy
O1 0.000 0.000 0.000 1
Se1 0.500 0.500 0.500 1
La1 0.000 0.500 0.000 1
La2 0.000 0.000 0.500 1
La3 0.500 0.000 0.000 1
```

ΔE_f (raw): -1.544 eV/atom
ΔE to the lowest computed polymorph: 0.00 eV per formula unit
space group: Pm-3m, No. 221

| no. | total energy (eV per atom) | DOS(E_F) (states/eV per cell) | total moment (μB per cell) |
| --- | --- | --- | --- |
| 1 | -2.474 | 2.3 | 0.0 |
| 2 | -6.190 | 7.2 | 0.0 |